Record 1
## MoPtS (PBE)

Data for a relaxed structure of MoPtS.

The structure belongs to space group P-1 (No. 2); the cell edges are 3.291, 5.477 and 6.204 Å and the angles 64.01°, 89.96° and 89.82°. Symmetry generates all atoms from Mo at (0.001, 0.022, 0.219), Pt at (0.500, 0.287, 0.405) and S at (0.002, 0.367, 0.829).

The electronic total energy is -42.782 eV for the cell shown. The volume is 16.76 Å³/atom. The value obtained for the size of the total moment is 0.00 μB/f.u.

---

Record 2
## Li2TlAg6 (PBE)

Data for a relaxed structure of Li2TlAg6.

The structure belongs to space group P4_2/mnm (No. 136); the cell edges are 5.437, 5.437 and 16.125 Å and the angles 90.00°, 90.00° and 90.00°. Symmetry generates all atoms from Li at (0.000, 0.000, 0.138), Tl at (0.000, 0.000, 0.500), Ag at (0.166, 0.166, 0.000) and Ag at (0.187, 0.187, 0.273).

As for the energy above the most stable polymorph in this dataset: 38.66 kJ/mol of atoms. The volume is 26.48 Å³/atom. As for the calculated formation energy: 0.347 eV per atom. The value obtained for the size of the total moment is 0.00 μB/f.u.

---

Record 3
## NbPd2Ru (PBE)

Data for a relaxed structure of NbPd2Ru.

The structure belongs to space group P2_1/m (No. 11); the cell edges are 5.530, 3.998 and 6.148 Å and the angles 90.00°, 112.81° and 90.00°. Symmetry generates all atoms from Nb at (0.226, 0.250, 0.132), Pd at (0.071, 0.750, 0.373), Pd at (0.428, 0.250, 0.628) and Ru at (0.279, 0.750, 0.881).

As for the energy above the most stable polymorph in this dataset: 5.60 kJ/mol of atoms. The volume is 15.66 Å³/atom. As for the calculated formation energy: -0.225 eV per atom. The value obtained for the size of the total moment is 0.00 μB/f.u.

---

Record 4
## YSnAu (PBE)

Data for a relaxed structure of YSnAu.

The structure belongs to space group R3m (No. 160, hexagonal axes); the cell edges are 4.6920, 4.6920 and 23.6109 Å and the angles 90.00°, 90.00° and 120.00°. Symmetry generates all atoms from Y at (0.0000, 0.0000, 0.0000), Y at (0.0000, 0.0000, 0.1632), Sn at (0.0000, 0.0000, 0.4112), Sn at (0.0000, 0.0000, 0.5767), Au at (0.0000, 0.0000, 0.2877) and Au at (0.0000, 0.0000, 0.7626).

The volume is 25.02 Å³/atom. As for the calculated formation energy: -0.762 eV per atom. The value obtained for the size of the total moment is 0.00 μB/f.u.